ThMg3In3 | GGA-PBE | optimized geometry

Cell: 7.5948 7.5948 7.5948 Å, 90.00 90.00 90.00°
Fractional positions:
Mg1 0.2500 0.0000 0.5000
Mg2 0.0000 0.5000 0.2500
Mg3 0.5000 0.7500 0.0000
Mg4 0.7500 0.0000 0.5000
Mg5 0.0000 0.5000 0.7500
Mg6 0.5000 0.2500 0.0000
Th1 0.5000 0.5000 0.5000
Th2 0.0000 0.0000 0.0000
In1 0.0000 0.2500 0.5000
In2 0.0000 0.7500 0.5000
In3 0.5000 0.0000 0.7500
In4 0.7500 0.5000 0.0000
In5 0.5000 0.0000 0.2500
In6 0.2500 0.5000 0.0000

Results
**Energy of formation from the pure elements**: 0.5811 eV/atom


MgCu6Si2 | GGA-PBE | optimized geometry

Cell: 4.0351 4.0351 7.6820 Å, 90.00 90.00 90.00°
Fractional positions:
Mg1 0.0000 0.0000 0.0000
Cu1 0.0000 0.5000 0.3019
Cu2 0.5000 0.0000 0.3019
Cu3 0.0000 0.5000 0.6981
Cu4 0.5000 0.0000 0.6981
Cu5 0.5000 0.5000 0.5000
Cu6 0.0000 0.0000 0.5000
Si1 0.5000 0.5000 0.1498
Si2 0.5000 0.5000 0.8502

Results
**ΔE_f (raw)**: -36.6 meV/atom


PuGeN | GGA-PBE | optimized geometry

Cell: 4.6551 3.7114 3.7114 Å, 120.00 90.00 90.00°
Last column: magnetic moment on the atom in μB.
Fractional positions:
Ge1 0.6667 0.6667 0.3333  -0.02
N1 0.1666 0.3333 0.6667  -0.27
Pu1 0.1666 0.0000 0.0000  4.07

Results
**ΔE_f (raw)**: -338.9 meV/atom